The following is a GGA-PBE calculation of crystalline Pu2MgSn3 at its relaxed geometry, from Alexandria via LeMat-Bulk.

Output
**Calculated total energy**: -86.11 eV/cell
**Formation energy from the elements**: -0.788 eV/f.u.
**Crystal system**: orthorhombic

a b c (Å): 6.226 7.139 7.139
angles (deg): 85.59 90.00 90.00
Fractional positions:
Sn (0.000, 0.184, 0.816)
Sn (0.250, 0.441, 0.441)
Sn (0.000, 0.816, 0.184)
Pu (0.250, 0.570, 0.884)
Pu (0.750, 0.116, 0.430)
Pu (0.250, 0.884, 0.570)
Mg (0.750, 0.827, 0.827)
Sn (0.500, 0.184, 0.816)
Sn (0.750, 0.559, 0.559)
Mg (0.250, 0.173, 0.173)
Pu (0.750, 0.430, 0.116)
Sn (0.500, 0.816, 0.184)

The following is a GGA-PBE calculation of crystalline Mg2TiTcMo at its relaxed geometry, from Alexandria via LeMat-Bulk.

Output
**Calculated total energy**: -25.97 eV/cell
**Formation energy from the elements**: 6.309 eV/f.u.
**Crystal system**: tetragonal

a b c (Å): 4.972 4.529 4.972
angles (deg): 90.00 90.00 90.00
Fractional positions:
Ti (0.500, 0.500, 0.500)
Tc (0.000, 0.500, 0.000)
Mg (0.500, 0.000, 0.000)
Mo (0.000, 0.000, 0.000)
Mg (0.000, 0.000, 0.500)

The following is a GGA-PBE calculation of crystalline Nd3Ga3Co2 at its relaxed geometry, from Alexandria via LeMat-Bulk.

Output
**Calculated total energy**: -164.19 eV/cell
**Formation energy from the elements**: -3.452 eV/f.u.
**Crystal system**: orthorhombic

a b c (Å): 5.896 7.626 15.007
angles (deg): 90.00 90.00 90.00
Fractional positions:
Ga (0.112, 0.180, 0.250)
Nd (0.635, 0.336, 0.250)
Ga (0.108, 0.165, 0.541)
Nd (0.123, 0.467, 0.394)
Ga (0.888, 0.820, 0.750)
Nd (0.623, 0.033, 0.606)
Nd (0.135, 0.164, 0.750)
Ga (0.392, 0.665, 0.959)
Co (0.889, 0.134, 0.397)
Ga (0.392, 0.665, 0.541)
Ga (0.388, 0.680, 0.250)
Co (0.111, 0.866, 0.897)
Nd (0.365, 0.664, 0.750)
Co (0.889, 0.134, 0.103)
Nd (0.877, 0.533, 0.606)
Co (0.111, 0.866, 0.603)
Co (0.611, 0.634, 0.397)
Nd (0.123, 0.467, 0.106)
Ga (0.612, 0.320, 0.750)
Co (0.611, 0.634, 0.103)
Co (0.389, 0.366, 0.603)
Nd (0.623, 0.033, 0.894)
Ga (0.608, 0.335, 0.459)
Co (0.389, 0.366, 0.897)
Ga (0.608, 0.335, 0.041)
Nd (0.377, 0.967, 0.394)
Ga (0.892, 0.835, 0.459)
Nd (0.377, 0.967, 0.106)
Ga (0.892, 0.835, 0.041)
Ga (0.108, 0.165, 0.959)
Nd (0.865, 0.836, 0.250)
Nd (0.877, 0.533, 0.894)